No. 1
Pm2Ni15Pt2: optimized geometry, PBE.

SG = R-3m

a = 6.375 Å, b = 6.375 Å, c = 6.375 Å
α = 83.09°, β = 83.09°, γ = 83.09°
Last column: magnetic moment on the atom in μB.
Sites, in units of the cell vectors:
Pm  0.344  0.344  0.344  -0.07
Pm  0.656  0.656  0.656  -0.07
Ni  0.500  0.000  0.000  0.52
Ni  0.000  0.000  0.500  0.52
Ni  0.000  0.500  0.000  0.52
Ni  0.000  0.706  0.294  0.48
Ni  0.706  0.294  0.000  0.48
Ni  0.294  0.000  0.706  0.48
Ni  0.294  0.706  0.000  0.48
Ni  0.706  0.000  0.294  0.48
Ni  0.000  0.294  0.706  0.48
Ni  0.158  0.653  0.653  0.48
Ni  0.653  0.653  0.158  0.48
Ni  0.653  0.158  0.653  0.48
Ni  0.842  0.347  0.347  0.48
Ni  0.347  0.347  0.842  0.48
Ni  0.347  0.842  0.347  0.48
Pt  0.108  0.108  0.108  0.14
Pt  0.892  0.892  0.892  0.14



No. 2
MnCo4W: optimized geometry, PBE.

energy relative to the lowest polymorph listed for this composition = 66.4 meV per atom
SG = P6/mmm

a = 4.010 Å, b = 4.010 Å, c = 4.986 Å
α = 90.02°, β = 90.02°, γ = 120.00°
Last column: magnetic moment on the atom in μB.
Sites, in units of the cell vectors:
Mn  0.000  0.500  0.000  1.10
Co  0.333  0.167  0.761  1.02
Co  0.667  0.833  0.761  1.02
Co  0.333  0.167  0.239  1.02
Co  0.667  0.833  0.239  1.02
W  0.000  0.500  0.500  -0.47



No. 3
Tb2CeTl2Cd2: optimized geometry, PBE.

SG = R-3m

a = 5.066 Å, b = 5.066 Å, c = 9.204 Å
α = 74.03°, β = 74.03°, γ = 60.00°
Last column: magnetic moment on the atom in μB.
Sites, in units of the cell vectors:
Tb  0.133  0.133  0.602  0.10
Tb  0.867  0.867  0.398  0.10
Ce  0.000  0.000  0.000  0.98
Tl  0.732  0.732  0.805  0.00
Tl  0.268  0.268  0.195  0.00
Cd  0.571  0.571  0.287  0.00
Cd  0.429  0.429  0.713  0.00



No. 4
Cs6HBr5: optimized geometry, PBE.

SG = C2/m

a = 8.890 Å, b = 8.900 Å, c = 8.910 Å
α = 60.04°, β = 80.40°, γ = 70.49°
Sites, in units of the cell vectors:
Cs  0.758  0.081  0.318
Cs  0.242  0.601  0.318
Cs  0.238  0.235  0.000
Cs  0.762  0.765  0.000
Cs  0.758  0.399  0.682
Cs  0.242  0.919  0.682
H  0.000  0.000  0.000
Br  0.500  0.169  0.661
Br  0.000  0.334  0.333
Br  0.500  0.500  0.000
Br  0.000  0.666  0.667
Br  0.500  0.831  0.339



No. 5
FeIr4Se: optimized geometry, PBE.

raw formation energy = 0.751 eV/atom
SG = F-43m

a = 5.197 Å, b = 5.197 Å, c = 5.197 Å
α = 60.00°, β = 60.00°, γ = 60.00°
Last column: magnetic moment on the atom in μB.
Sites, in units of the cell vectors:
Fe  0.000  0.000  0.000  3.27
Ir  0.876  0.375  0.375  0.08
Ir  0.375  0.375  0.876  0.08
Ir  0.375  0.876  0.375  0.08
Ir  0.375  0.375  0.375  0.08
Se  0.750  0.750  0.750  -0.10



No. 6
LiNdSm: optimized geometry, PBE.

energy relative to the lowest polymorph listed for this composition = 54.3 meV per atom
SG = P3m1

a = 3.566 Å, b = 3.566 Å, c = 8.468 Å
α = 90.00°, β = 90.00°, γ = 120.00°
Sites, in units of the cell vectors:
Nd  0.333  0.667  0.672
Sm  0.667  0.333  0.327
Li  0.000  0.000  0.001



| no. | DFT total energy (eV per cell) |
| --- | --- |
| 1 | -112.5 |
| 2 | -49.9 |
| 3 | -22.6 |
| 4 | -34.9 |
| 5 | -42.9 |
| 6 | -11.1 |